DFT (GGA-PBE) results for an optimized crystal structure of Sr4Cd2Ir.

Results
- DOS(E_F) (states/eV/cell) = 5.42
- DFT formation energy (meV/atom) = -140
- calculated volume (Å³/cell) = 281.7
- space-group type = I4/mmm

a = 5.759 Å, b = 5.759 Å, c = 9.421 Å
α = 107.80°, β = 107.80°, γ = 90.00°
Fractional positions:
1 Sr 0.500 0.000 0.000
2 Cd 0.376 0.376 0.751
3 Ir 0.000 0.000 0.000
4 Sr 0.827 0.827 0.654
5 Sr 0.173 0.173 0.346
6 Cd 0.624 0.624 0.249
7 Sr 0.000 0.500 0.000

DFT (GGA-PBE) results for an optimized crystal structure of SrCd2Ir.

Results
- DOS(E_F) (states/eV/cell) = 1.97
- DFT formation energy (meV/atom) = 90
- calculated volume (Å³/cell) = 90.9
- space-group type = P4/mmm

a = 4.365 Å, b = 4.365 Å, c = 4.774 Å
α = 90.00°, β = 90.00°, γ = 90.00°
Fractional positions:
1 Cd 0.500 0.500 0.000
2 Sr 0.000 0.500 0.500
3 Ir 0.500 0.000 0.500
4 Cd 0.000 0.000 0.000

DFT (GGA-PBE) results for an optimized crystal structure of Sr8CdIr2.

Results
- DOS(E_F) (states/eV/cell) = 7.17
- DFT formation energy (meV/atom) = 57
- calculated volume (Å³/cell) = 523.6
- space-group type = P-3

a = 6.150 Å, b = 9.915 Å, c = 9.916 Å
α = 120.01°, β = 90.00°, γ = 90.00°
Fractional positions:
1 Sr 0.745 0.827 0.170
2 Sr 0.255 0.170 0.343
3 Sr 0.255 0.657 0.827
4 Ir 0.750 0.667 0.333
5 Ir 0.250 0.333 0.667
6 Sr 0.247 0.667 0.333
7 Sr 0.255 0.173 0.830
8 Sr 0.745 0.343 0.173
9 Sr 0.745 0.830 0.657
10 Sr 0.753 0.333 0.667
11 Cd 0.000 0.000 0.000